No. 1
# PmSm6Dy2Y, optimized geometry, DFT PBE-GGA
data_PmSm6Dy2Y
_chemical_formula_sum 'Pm4 Sm24 Dy8 Y4'
_space_group_name_H-M_alt 'C 1 2/c 1'
_space_group_IT_number 15
_space_group_name_Hall '-C 2yc'
_cell_length_a 9.1715
_cell_length_b 15.2945
_cell_length_c 9.7004
_cell_angle_alpha 90.00
_cell_angle_beta 97.82
_cell_angle_gamma 90.00
loop_
_atom_site_label
_atom_site_type_symbol
_atom_site_fract_x
_atom_site_fract_y
_atom_site_fract_z
_atom_site_occupancy
Pm1 Pm 0.0000 0.0924 0.2500 1
Sm1 Sm 0.0627 0.3183 0.4453 1
Sm2 Sm 0.1023 0.1062 0.6205 1
Sm3 Sm 0.2056 0.2743 0.8156 1
Dy1 Dy 0.2468 0.4485 0.0441 1
Y1 Y 0.0000 0.4744 0.7500 1
# energy of formation = 0.117 eV/atom
# size of the total moment = 0.00 μB/f.u.
# mass density = 7199 kg/m3

=====

No. 2
# Ba2CoPb, optimized geometry, DFT PBE-GGA
data_Ba2CoPb
_chemical_formula_sum 'Ba8 Co4 Pb4'
_space_group_name_H-M_alt 'I -4 2 d'
_space_group_IT_number 122
_space_group_name_Hall 'I -4 2bw'
_cell_length_a 11.6180
_cell_length_b 11.6180
_cell_length_c 5.0266
_cell_angle_alpha 90.00
_cell_angle_beta 90.00
_cell_angle_gamma 90.00
loop_
_atom_site_label
_atom_site_type_symbol
_atom_site_fract_x
_atom_site_fract_y
_atom_site_fract_z
_atom_site_occupancy
Ba1 Ba 0.0742 0.2500 0.1250 1
Co1 Co 0.0000 0.0000 0.0000 1
Pb1 Pb 0.0000 0.0000 0.5000 1
# energy of formation = 0.055 eV/atom
# size of the total moment = 0.00 μB/f.u.
# mass density = 5294 kg/m3

=====

No. 3
# SiHgTe2, optimized geometry, DFT PBE-GGA
data_SiHgTe2
_chemical_formula_sum 'Si2 Hg2 Te4'
_space_group_name_H-M_alt 'I -4 m 2'
_space_group_IT_number 119
_space_group_name_Hall 'I -4 -2'
_cell_length_a 4.1762
_cell_length_b 4.1762
_cell_length_c 12.3942
_cell_angle_alpha 90.00
_cell_angle_beta 90.00
_cell_angle_gamma 90.00
loop_
_atom_site_label
_atom_site_type_symbol
_atom_site_fract_x
_atom_site_fract_y
_atom_site_fract_z
_atom_site_occupancy
Si1 Si 0.0000 0.0000 0.0000 1
Hg1 Hg 0.0000 0.5000 0.2500 1
Te1 Te 0.0000 0.0000 0.5000 1
Te2 Te 0.0000 0.5000 0.7500 1
# excess energy over the best structure of this formula in the dataset = 0.337 eV per atom
# size of the total moment = 0.00 μB/f.u.
# energy relative to the elements, uncorrected = 0.394 eV/atom
# mass density = 7434 kg/m3

=====

No. 4
# Rb3Ce3TaS8, optimized geometry, DFT PBE-GGA
data_Rb3Ce3TaS8
_chemical_formula_sum 'Rb9 Ce9 Ta3 S24'
_space_group_name_H-M_alt 'R -3 m'
_space_group_IT_number 166
_space_group_name_Hall '-R 3 2"'
_cell_length_a 8.0823
_cell_length_b 8.0823
_cell_length_c 23.6178
_cell_angle_alpha 90.00
_cell_angle_beta 90.00
_cell_angle_gamma 120.00
loop_
_atom_site_label
_atom_site_type_symbol
_atom_site_fract_x
_atom_site_fract_y
_atom_site_fract_z
_atom_site_occupancy
Rb1 Rb 0.0000 0.5000 0.0000 1
Ce1 Ce 0.0000 0.5000 0.5000 1
Ta1 Ta 0.0000 0.0000 0.5000 1
S1 S 0.0000 0.0000 0.2334 1
S2 S 0.0310 0.5155 0.2273 1
# size of the total moment = 4.03 μB/f.u.
# energy relative to the elements, uncorrected = -1.577 eV/atom
# mass density = 4154 kg/m3

=====

No. 5
# Y2HAu2, optimized geometry, DFT PBE-GGA
data_Y2HAu2
_chemical_formula_sum 'Y4 H2 Au4'
_space_group_name_H-M_alt 'P 4/m b m'
_space_group_IT_number 127
_space_group_name_Hall '-P 4 2ab'
_cell_length_a 7.0435
_cell_length_b 7.0435
_cell_length_c 4.4592
_cell_angle_alpha 90.00
_cell_angle_beta 90.00
_cell_angle_gamma 90.00
loop_
_atom_site_label
_atom_site_type_symbol
_atom_site_fract_x
_atom_site_fract_y
_atom_site_fract_z
_atom_site_occupancy
Y1 Y 0.1743 0.3257 0.0000 1
H1 H 0.0000 0.0000 0.0000 1
Au1 Au 0.1385 0.6385 0.5000 1
# excess energy over the best structure of this formula in the dataset = 0.000 eV per atom
# size of the total moment = 0.00 μB/f.u.
# mass density = 8598 kg/m3

=====

No. 6
# CeAlC2, optimized geometry, DFT PBE-GGA
data_CeAlC2
_chemical_formula_sum 'Ce3 Al3 C6'
_space_group_name_H-M_alt 'R -3 m'
_space_group_IT_number 166
_space_group_name_Hall '-R 3 2"'
_cell_length_a 3.4783
_cell_length_b 3.4783
_cell_length_c 15.1430
_cell_angle_alpha 90.00
_cell_angle_beta 90.00
_cell_angle_gamma 120.00
loop_
_atom_site_label
_atom_site_type_symbol
_atom_site_fract_x
_atom_site_fract_y
_atom_site_fract_z
_atom_site_occupancy
Ce1 Ce 0.0000 0.0000 0.0000 1
Al1 Al 0.0000 0.0000 0.5000 1
C1 C 0.0000 0.0000 0.2386 1
# energy of formation = 0.225 eV/atom
# size of the total moment = 0.00 μB/f.u.
# mass density = 6001 kg/m3

=====

No. 7
# Er4CdS2, optimized geometry, DFT PBE-GGA
data_Er4CdS2
_chemical_formula_sum 'Er16 Cd4 S8'
_space_group_name_H-M_alt 'C m c m'
_space_group_IT_number 63
_space_group_name_Hall '-C 2c 2'
_cell_length_a 3.9283
_cell_length_b 12.8061
_cell_length_c 13.4724
_cell_angle_alpha 90.00
_cell_angle_beta 90.00
_cell_angle_gamma 90.00
loop_
_atom_site_label
_atom_site_type_symbol
_atom_site_fract_x
_atom_site_fract_y
_atom_site_fract_z
_atom_site_occupancy
Er1 Er 0.0000 0.0000 0.0000 1
Er2 Er 0.0000 0.2664 0.1170 1
Er3 Er 0.0000 0.4281 0.7500 1
Cd1 Cd 0.0000 0.1095 0.7500 1
S1 S 0.0000 0.3652 0.5579 1
# size of the total moment = 0.00 μB/f.u.
# energy relative to the elements, uncorrected = -1.223 eV/atom
# mass density = 8287 kg/m3

=====

No. 8
# Er2Pd8Pt, optimized geometry, DFT PBE-GGA
data_Er2Pd8Pt
_chemical_formula_sum 'Er4 Pd16 Pt2'
_space_group_name_H-M_alt 'C 1 2/m 1'
_space_group_IT_number 12
_space_group_name_Hall '-C 2y'
_cell_length_a 14.4484
_cell_length_b 4.2037
_cell_length_c 6.4976
_cell_angle_alpha 90.00
_cell_angle_beta 107.96
_cell_angle_gamma 90.00
loop_
_atom_site_label
_atom_site_type_symbol
_atom_site_fract_x
_atom_site_fract_y
_atom_site_fract_z
_atom_site_occupancy
Er1 Er 0.2165 0.0000 0.1659 1
Pd1 Pd 0.0359 0.0000 0.2283 1
Pd2 Pd 0.0927 0.5000 0.9396 1
Pd3 Pd 0.1418 0.0000 0.6809 1
Pd4 Pd 0.1697 0.5000 0.3998 1
Pt1 Pt 0.0000 0.5000 0.5000 1
# energy of formation = -0.542 eV/atom
# excess energy over the best structure of this formula in the dataset = 0.026 eV per atom
# size of the total moment = 0.00 μB/f.u.
# mass density = 12217 kg/m3

=====

No. 9
# AlRuS3, optimized geometry, DFT PBE-GGA
data_AlRuS3
_chemical_formula_sum 'Al1 Ru1 S3'
_space_group_name_H-M_alt 'P m -3 m'
_space_group_IT_number 221
_space_group_name_Hall '-P 4 2 3'
_cell_length_a 4.6315
_cell_length_b 4.6315
_cell_length_c 4.6315
_cell_angle_alpha 90.00
_cell_angle_beta 90.00
_cell_angle_gamma 90.00
loop_
_atom_site_label
_atom_site_type_symbol
_atom_site_fract_x
_atom_site_fract_y
_atom_site_fract_z
_atom_site_occupancy
Al1 Al 0.0000 0.0000 0.0000 1
Ru1 Ru 0.5000 0.5000 0.5000 1
S1 S 0.0000 0.5000 0.5000 1
# excess energy over the best structure of this formula in the dataset = 0.000 eV per atom
# size of the total moment = 0.00 μB/f.u.
# energy relative to the elements, uncorrected = 0.367 eV/atom
# mass density = 3748 kg/m3

=====

No. 10
# NdSb3Rh3, optimized geometry, DFT PBE-GGA
data_NdSb3Rh3
_chemical_formula_sum 'Nd2 Sb6 Rh6'
_space_group_name_H-M_alt 'P m -3 n'
_space_group_IT_number 223
_space_group_name_Hall '-P 4n 2 3'
_cell_length_a 7.1320
_cell_length_b 7.1320
_cell_length_c 7.1320
_cell_angle_alpha 90.00
_cell_angle_beta 90.00
_cell_angle_gamma 90.00
loop_
_atom_site_label
_atom_site_type_symbol
_atom_site_fract_x
_atom_site_fract_y
_atom_site_fract_z
_atom_site_occupancy
Nd1 Nd 0.0000 0.0000 0.0000 1
Sb1 Sb 0.0000 0.2500 0.5000 1
Rh1 Rh 0.0000 0.5000 0.2500 1
# excess energy over the best structure of this formula in the dataset = 0.291 eV per atom
# size of the total moment = 0.00 μB/f.u.
# energy relative to the elements, uncorrected = -0.229 eV/atom
# mass density = 7491 kg/m3

=====

No. 11
# Sm4InIr, optimized geometry, DFT PBE-GGA
data_Sm4InIr
_chemical_formula_sum 'Sm16 In4 Ir4'
_space_group_name_H-M_alt 'C 1 2/c 1'
_space_group_IT_number 15
_space_group_name_Hall '-C 2yc'
_cell_length_a 8.9033
_cell_length_b 13.5142
_cell_length_c 6.1440
_cell_angle_alpha 90.00
_cell_angle_beta 108.18
_cell_angle_gamma 90.00
loop_
_atom_site_label
_atom_site_type_symbol
_atom_site_fract_x
_atom_site_fract_y
_atom_site_fract_z
_atom_site_occupancy
Sm1 Sm 0.1107 0.1725 0.0532 1
Sm2 Sm 0.2180 0.4241 0.3847 1
In1 In 0.0000 0.3768 0.7500 1
Ir1 Ir 0.0000 0.0009 0.7500 1
# energy of formation = -0.454 eV/atom
# excess energy over the best structure of this formula in the dataset = 0.071 eV per atom
# size of the total moment = 0.00 μB/f.u.
# mass density = 8591 kg/m3

=====

No. 12
# Te2Au2Se, optimized geometry, DFT PBE-GGA
data_Te2Au2Se
_chemical_formula_sum 'Te4 Au4 Se2'
_space_group_name_H-M_alt 'P 4/m b m'
_space_group_IT_number 127
_space_group_name_Hall '-P 4 2ab'
_cell_length_a 8.0040
_cell_length_b 8.0040
_cell_length_c 3.8890
_cell_angle_alpha 90.00
_cell_angle_beta 90.00
_cell_angle_gamma 90.00
loop_
_atom_site_label
_atom_site_type_symbol
_atom_site_fract_x
_atom_site_fract_y
_atom_site_fract_z
_atom_site_occupancy
Te1 Te 0.2024 0.2976 0.0000 1
Au1 Au 0.1196 0.6196 0.5000 1
Se1 Se 0.0000 0.0000 0.0000 1
# excess energy over the best structure of this formula in the dataset = 0.000 eV per atom
# size of the total moment = 0.00 μB/f.u.
# energy relative to the elements, uncorrected = 0.175 eV/atom
# mass density = 9705 kg/m3

=====

No. 13
# NaGd2Cd, optimized geometry, DFT PBE-GGA
data_NaGd2Cd
_chemical_formula_sum 'Na3 Gd6 Cd3'
_space_group_name_H-M_alt 'R -3 m'
_space_group_IT_number 166
_space_group_name_Hall '-R 3 2"'
_cell_length_a 3.4833
_cell_length_b 3.4833
_cell_length_c 36.4955
_cell_angle_alpha 90.00
_cell_angle_beta 90.00
_cell_angle_gamma 120.00
loop_
_atom_site_label
_atom_site_type_symbol
_atom_site_fract_x
_atom_site_fract_y
_atom_site_fract_z
_atom_site_occupancy
Na1 Na 0.0000 0.0000 0.0000 1
Gd1 Gd 0.0000 0.0000 0.0965 1
Cd1 Cd 0.0000 0.0000 0.5000 1
# energy of formation = 0.100 eV/atom
# excess energy over the best structure of this formula in the dataset = 0.118 eV per atom
# size of the total moment = 15.03 μB/f.u.
# mass density = 5844 kg/m3

=====

No. 14
# HfBRh3, optimized geometry, DFT PBE-GGA
data_HfBRh3
_chemical_formula_sum 'Hf2 B2 Rh6'
_space_group_name_H-M_alt 'P 1'
_space_group_IT_number 1
_space_group_name_Hall 'P 1'
_cell_length_a 4.6457
_cell_length_b 5.5428
_cell_length_c 5.5946
_cell_angle_alpha 89.76
_cell_angle_beta 77.15
_cell_angle_gamma 89.87
loop_
_atom_site_label
_atom_site_type_symbol
_atom_site_fract_x
_atom_site_fract_y
_atom_site_fract_z
_atom_site_occupancy
Hf1 Hf 0.0000 0.0000 0.0000 1
Hf2 Hf 0.1043 0.5013 0.6324 1
B1 B 0.3830 0.0001 0.5751 1
B2 B 0.6692 0.4995 0.4696 1
Rh1 Rh 0.0400 0.5001 0.1373 1
Rh2 Rh 0.5031 0.2462 0.2770 1
Rh3 Rh 0.5029 0.7555 0.2768 1
Rh4 Rh 0.5434 0.2532 0.7942 1
Rh5 Rh 0.5445 0.7454 0.7938 1
Rh6 Rh 0.9715 0.0010 0.4906 1
# energy of formation = -0.656 eV/atom
# excess energy over the best structure of this formula in the dataset = 0.129 eV per atom
# size of the total moment = 0.00 μB/f.u.
# mass density = 11776 kg/m3

=====

No. 15
# Sc2FeHg, optimized geometry, DFT PBE-GGA
data_Sc2FeHg
_chemical_formula_sum 'Sc4 Fe2 Hg2'
_space_group_name_H-M_alt 'C 1 m 1'
_space_group_IT_number 8
_space_group_name_Hall 'C -2y'
_cell_length_a 10.5767
_cell_length_b 3.2030
_cell_length_c 4.8768
_cell_angle_alpha 90.00
_cell_angle_beta 108.66
_cell_angle_gamma 90.00
loop_
_atom_site_label
_atom_site_type_symbol
_atom_site_fract_x
_atom_site_fract_y
_atom_site_fract_z
_atom_site_occupancy
Sc1 Sc 0.0000 0.0000 0.0000 1
Sc2 Sc 0.2085 0.0000 0.6597 1
Fe1 Fe 0.2265 0.5000 0.1518 1
Hg1 Hg 0.4454 0.0000 0.4562 1
# energy of formation = -0.067 eV/atom
# size of the total moment = 1.37 μB/f.u.
# mass density = 7348 kg/m3

=====

No. 16
# Li2PrAg2Pb2, optimized geometry, DFT PBE-GGA
data_Li2PrAg2Pb2
_chemical_formula_sum 'Li6 Pr3 Ag6 Pb6'
_space_group_name_H-M_alt 'R -3 m'
_space_group_IT_number 166
_space_group_name_Hall '-R 3 2"'
_cell_length_a 4.7850
_cell_length_b 4.7850
_cell_length_c 24.3599
_cell_angle_alpha 90.00
_cell_angle_beta 90.00
_cell_angle_gamma 120.00
loop_
_atom_site_label
_atom_site_type_symbol
_atom_site_fract_x
_atom_site_fract_y
_atom_site_fract_z
_atom_site_occupancy
Li1 Li 0.0000 0.0000 0.1405 1
Pr1 Pr 0.0000 0.0000 0.0000 1
Ag1 Ag 0.0000 0.0000 0.4399 1
Pb1 Pb 0.0000 0.0000 0.2597 1
# energy of formation = -0.300 eV/atom
# size of the total moment = 0.00 μB/f.u.
# mass density = 8095 kg/m3

=====

No. 17
# LaTc3Sn, optimized geometry, DFT PBE-GGA
data_LaTc3Sn
_chemical_formula_sum 'La1 Tc3 Sn1'
_space_group_name_H-M_alt 'P m -3 m'
_space_group_IT_number 221
_space_group_name_Hall '-P 4 2 3'
_cell_length_a 4.9428
_cell_length_b 4.9428
_cell_length_c 4.9428
_cell_angle_alpha 90.00
_cell_angle_beta 90.00
_cell_angle_gamma 90.00
loop_
_atom_site_label
_atom_site_type_symbol
_atom_site_fract_x
_atom_site_fract_y
_atom_site_fract_z
_atom_site_occupancy
La1 La 0.0000 0.0000 0.0000 1
Tc1 Tc 0.0000 0.5000 0.5000 1
Sn1 Sn 0.5000 0.5000 0.5000 1
# energy of formation = 1.282 eV/atom
# excess energy over the best structure of this formula in the dataset = 0.000 eV per atom
# size of the total moment = 3.36 μB/f.u.
# mass density = 7585 kg/m3

=====

No. 18
# Pt3AuS, optimized geometry, DFT PBE-GGA
data_Pt3AuS
_chemical_formula_sum 'Pt3 Au1 S1'
_space_group_name_H-M_alt 'P m -3 m'
_space_group_IT_number 221
_space_group_name_Hall '-P 4 2 3'
_cell_length_a 4.4936
_cell_length_b 4.4936
_cell_length_c 4.4936
_cell_angle_alpha 90.00
_cell_angle_beta 90.00
_cell_angle_gamma 90.00
loop_
_atom_site_label
_atom_site_type_symbol
_atom_site_fract_x
_atom_site_fract_y
_atom_site_fract_z
_atom_site_occupancy
Pt1 Pt 0.0000 0.0000 0.5000 1
Au1 Au 0.5000 0.5000 0.5000 1
S1 S 0.0000 0.0000 0.0000 1
# excess energy over the best structure of this formula in the dataset = 0.000 eV per atom
# size of the total moment = 0.00 μB/f.u.
# energy relative to the elements, uncorrected = 0.340 eV/atom
# mass density = 14901 kg/m3

=====

No. 19
# TcPbAu3, optimized geometry, DFT PBE-GGA
data_TcPbAu3
_chemical_formula_sum 'Tc1 Pb1 Au3'
_space_group_name_H-M_alt 'P m -3 m'
_space_group_IT_number 221
_space_group_name_Hall '-P 4 2 3'
_cell_length_a 5.0762
_cell_length_b 5.0762
_cell_length_c 5.0762
_cell_angle_alpha 90.00
_cell_angle_beta 90.00
_cell_angle_gamma 90.00
loop_
_atom_site_label
_atom_site_type_symbol
_atom_site_fract_x
_atom_site_fract_y
_atom_site_fract_z
_atom_site_occupancy
Tc1 Tc 0.0000 0.0000 0.0000 1
Pb1 Pb 0.5000 0.5000 0.5000 1
Au1 Au 0.0000 0.0000 0.5000 1
# energy of formation = 0.830 eV/atom
# excess energy over the best structure of this formula in the dataset = 0.000 eV per atom
# size of the total moment = 1.93 μB/f.u.
# mass density = 11376 kg/m3

=====

No. 20
# Sc2RhC2, optimized geometry, DFT PBE-GGA
data_Sc2RhC2
_chemical_formula_sum 'Sc4 Rh2 C4'
_space_group_name_H-M_alt 'P 4/m b m'
_space_group_IT_number 127
_space_group_name_Hall '-P 4 2ab'
_cell_length_a 6.1170
_cell_length_b 6.1170
_cell_length_c 3.2493
_cell_angle_alpha 90.00
_cell_angle_beta 90.00
_cell_angle_gamma 90.00
loop_
_atom_site_label
_atom_site_type_symbol
_atom_site_fract_x
_atom_site_fract_y
_atom_site_fract_z
_atom_site_occupancy
Sc1 Sc 0.1874 0.3126 0.0000 1
Rh1 Rh 0.0000 0.0000 0.5000 1
C1 C 0.0837 0.5837 0.5000 1
# energy of formation = -0.415 eV/atom
# excess energy over the best structure of this formula in the dataset = 0.000 eV per atom
# size of the total moment = 0.00 μB/f.u.
# mass density = 5923 kg/m3